No. 1
{
  "formula": "AcInPt",
  "functional": "PBE",
  "state": "relaxed",
  "de_polymorph_mev_per_atom": 97.2,
  "formation_enthalpy_0k_ev_per_atom": -0.82,
  "crystal_system": "hexagonal",
  "cell": [[4.170, 0.000, 0.000], [0.000, 4.775, 0.000], [0.000, -2.387, 4.135]],
  "species": ["Ac", "Pt", "In"],
  "frac_coords": [[0.667, 0.333, 0.667], [0.166, 0.667, 0.333], [0.167, 0.000, 0.000]]
}

=====

No. 2
{
  "formula": "Ac2BeGeO6",
  "functional": "PBE",
  "state": "relaxed",
  "e_form_raw_ev_per_atom": -2.685,
  "crystal_system": "orthorhombic",
  "cell": [[-4.986, -2.450, -0.344], [0.982, -2.704, 5.023], [-3.050, 5.694, 3.662]],
  "species": ["Ac", "Ac", "Ac", "Ac", "Be", "Be", "Ge", "Ge", "O", "O", "O", "O", "O", "O", "O", "O", "O", "O", "O", "O"],
  "frac_coords": [[0.500, 0.774, 0.254], [0.000, 0.226, 0.754], [0.500, 0.774, 0.746], [0.000, 0.226, 0.246], [0.000, 0.658, 0.500], [0.500, 0.342, 0.000], [0.500, 0.267, 0.500], [0.000, 0.733, 0.000], [0.500, 0.258, 0.229], [0.500, 0.258, 0.771], [0.000, 0.742, 0.271], [0.000, 0.742, 0.729], [0.265, 0.037, 0.500], [0.735, 0.037, 0.500], [0.256, 0.501, 0.500], [0.744, 0.501, 0.500], [0.756, 0.499, 0.000], [0.244, 0.499, 0.000], [0.235, 0.963, 0.000], [0.765, 0.963, 0.000]]
}

=====

No. 3
{
  "formula": "Ag2PdAu",
  "functional": "PBE",
  "state": "relaxed",
  "de_polymorph_mev_per_atom": 302.7,
  "formation_enthalpy_0k_ev_per_atom": 0.22,
  "crystal_system": "tetragonal",
  "cell": [[7.468, 0.000, 0.000], [0.000, 7.468, 0.000], [3.734, 3.734, 2.745]],
  "species": ["Au", "Au", "Pd", "Pd", "Ag", "Ag", "Ag", "Ag"],
  "frac_coords": [[0.000, 0.000, 0.000], [0.750, 0.250, 0.500], [0.500, 0.500, 0.000], [0.250, 0.750, 0.500], [0.621, 0.125, 0.250], [0.129, 0.625, 0.250], [0.375, 0.379, 0.750], [0.875, 0.871, 0.750]]
}

=====

No. 4
{
  "formula": "TaAlMo2",
  "functional": "PBE",
  "state": "relaxed",
  "formation_enthalpy_0k_ev_per_atom": -0.02,
  "crystal_system": "cubic",
  "cell": [[4.509, 0.000, 0.000], [2.254, 3.905, 0.000], [2.254, 1.302, 3.681]],
  "species": ["Mo", "Mo", "Al", "Ta"],
  "frac_coords": [[0.000, 0.000, 0.000], [0.750, 0.750, 0.750], [0.500, 0.500, 0.500], [0.250, 0.250, 0.250]]
}

=====

No. 5
{
  "formula": "AlMoAu2",
  "functional": "PBE",
  "state": "relaxed",
  "formation_enthalpy_0k_ev_per_atom": -0.07,
  "crystal_system": "tetragonal",
  "cell": [[-1.373, -1.529, 1.914], [-1.246, -1.454, -2.054], [6.313, -5.545, 0.097]],
  "species": ["Mo", "Au", "Au", "Al"],
  "frac_coords": [[0.000, 0.000, 0.514], [0.000, 0.000, 0.978], [0.500, 0.500, 0.264], [0.500, 0.500, 0.744]]
}

=====

No. 6
{
  "formula": "Dy7Ho4Th",
  "functional": "PBE",
  "state": "relaxed",
  "de_polymorph_mev_per_atom": 0.0,
  "formation_enthalpy_0k_ev_per_atom": 0.00,
  "crystal_system": "triclinic",
  "cell": [[-4.649, 4.859, 2.402], [2.354, -0.555, 5.682], [1.758, 10.901, 2.589]],
  "species": ["Dy", "Dy", "Dy", "Dy", "Dy", "Dy", "Dy", "Ho", "Ho", "Ho", "Ho", "Th"],
  "frac_coords": [[0.754, 0.500, 0.000], [0.246, 0.500, 0.000], [0.083, 0.276, 0.667], [0.917, 0.724, 0.333], [0.331, 0.780, 0.669], [0.500, 0.000, 0.000], [0.669, 0.220, 0.331], [0.418, 0.725, 0.332], [0.582, 0.275, 0.668], [0.837, 0.778, 0.663], [0.163, 0.222, 0.337], [0.000, 0.000, 0.000]]
}

=====

No. 7
{
  "formula": "SmCr2C3",
  "functional": "PBE",
  "state": "relaxed",
  "formation_enthalpy_0k_ev_per_atom": 0.06,
  "crystal_system": "orthorhombic",
  "cell": [[-1.821, -4.117, 1.868], [2.778, -3.448, -4.893], [2.520, 1.177, 5.051]],
  "species": ["Sm", "Sm", "Cr", "Cr", "Cr", "Cr", "C", "C", "C", "C", "C", "C"],
  "frac_coords": [[0.750, 0.295, 0.591], [0.250, 0.705, 0.409], [0.500, 0.188, 0.000], [0.500, 0.812, 0.000], [0.000, 0.812, 0.000], [0.000, 0.188, 0.000], [0.250, 0.528, 0.839], [0.750, 0.472, 0.161], [0.750, 0.689, 0.161], [0.250, 0.311, 0.839], [0.250, 0.093, 0.185], [0.750, 0.907, 0.815]]
}

=====

No. 8
{
  "formula": "Er2Tl3SnSe6",
  "functional": "PBE",
  "state": "relaxed",
  "e_form_raw_ev_per_atom": -1.038,
  "crystal_system": "monoclinic",
  "cell": [[7.251, -0.004, 0.007], [-3.627, 6.278, 0.007], [-1.202, -2.081, 7.663]],
  "species": ["Er", "Er", "Tl", "Tl", "Tl", "Sn", "Se", "Se", "Se", "Se", "Se", "Se"],
  "frac_coords": [[0.333, 0.667, 0.000], [0.667, 0.333, 0.000], [0.169, 0.831, 0.500], [0.831, 0.169, 0.500], [0.500, 0.500, 0.500], [0.000, 0.000, 0.000], [0.933, 0.595, 0.796], [0.731, 0.731, 0.205], [0.067, 0.405, 0.204], [0.595, 0.933, 0.796], [0.269, 0.269, 0.795], [0.405, 0.067, 0.204]]
}

=====

Calculated electronic total energy (eV per atom), listed in the same order as above: -5.112; -7.316; -3.320; -9.332; -5.351; -4.826; -8.550; -4.466
Calculated density of states at the Fermi level (states/eV/atom), listed in the same order as above: 0.704; 0.000; 0.347; 0.725; 0.716; 1.438; 0.642; 0.380